The following is a PBE calculation of AcGa2BiPt5 after structural relaxation, from Alexandria.

Cell lengths 4.330, 4.330, 9.491 Å; angles 90.00, 90.00, 90.00 degrees
Positions (direct):
Ac1 0.000 0.000 0.000
Ga1 0.500 0.500 0.368
Ga2 0.500 0.500 0.632
Bi1 0.000 0.000 0.500
Pt1 0.000 0.500 0.234
Pt2 0.000 0.500 0.766
Pt3 0.500 0.000 0.234
Pt4 0.500 0.000 0.766
Pt5 0.500 0.500 0.000

Results
* symmetry: No. 123
* total moment: 0.0 μB/cell
* E_tot: -5.43 eV per atom
* mass density: 14.47 g cm⁻³